# Ba2Sr4Pd

A relaxed structure of Ba2Sr4Pd (GGA-PBE, Alexandria).

N(E_F) ... 11.9 states/eV per cell
Distance to the lowest polymorph of the same formula ... 0.30 eV/f.u.
E ... -33.0 eV per cell
Formation enthalpy at 0 K ... -10.4 kJ per mole of atoms
Crystal system ... tetragonal

Structure (CIF):
```
data_Ba2Sr4Pd
_chemical_formula_sum 'Ba4 Sr8 Pd2'
_symmetry_space_group_name_H-M 'I 4/m m m'
_symmetry_Int_Tables_number 139
_symmetry_space_group_name_Hall '-I 4 2'
_cell_length_a 5.9832
_cell_length_b 5.9832
_cell_length_c 21.7356
_cell_angle_alpha 90.00
_cell_angle_beta 90.00
_cell_angle_gamma 90.00
loop_
_atom_site_label
_atom_site_fract_x
_atom_site_fract_y
_atom_site_fract_z
Ba1 0.0000 0.0000 0.1719
Sr1 0.0000 0.0000 0.3642
Sr2 0.0000 0.5000 0.0000
Pd1 0.0000 0.0000 0.5000
```